PmNd3O6 | PBE-GGA | optimized geometry

Results
Energy above the most stable polymorph in this dataset = 0.085 eV/atom

Geometry as POSCAR:
```
PmNd3O6
1.0
5.952 0.000 0.000
0.000 6.194 0.000
-5.945 0.000 8.887
Pm Nd O
2 6 12
Cartesian
0.000 0.000 0.000
-2.973 3.097 4.443
-3.084 0.296 6.672
-0.111 2.800 2.229
0.003 0.000 4.443
2.976 3.097 0.000
0.117 3.393 6.658
3.090 5.897 2.214
-1.870 1.178 3.699
-4.843 1.919 8.142
-1.110 4.257 3.722
-4.082 5.033 8.166
0.912 0.522 2.208
-2.061 2.575 6.651
2.067 3.618 2.236
-0.905 5.672 6.679
4.089 1.161 0.721
1.116 1.936 5.165
4.849 4.275 0.744
1.876 5.015 5.188
```